[1]
Material: TaTe2S2I
Method: DFT, GGA-PBE
State: optimized geometry

It has space group P-1 (No. 2), with a = 6.646 Å, b = 7.540 Å, c = 8.646 Å, α = 112.50°, β = 102.73° and γ = 101.13°. Symmetry generates all atoms from Ta at (0.241, 0.000, 0.002), Te at (0.373, 0.658, 0.820), Te at (0.473, 0.134, 0.800), S at (0.026, 0.209, 0.922), S at (0.094, 0.103, 0.258) and I at (0.250, 0.612, 0.429).

The calculation puts the energy above the most stable polymorph in this dataset at 0.083 eV/atom.


[2]
Material: Dy2Lu3ScTe2Os
Method: DFT, GGA-PBE
State: optimized geometry

It has space group Amm2 (No. 38), with a = 3.996 Å, b = 14.085 Å, c = 8.083 Å, α = 90.00°, β = 90.00° and γ = 90.00°. Symmetry generates all atoms from Dy at (0.000, 0.195, 0.000), Lu at (0.500, 0.000, 0.045), Lu at (0.500, 0.118, 0.683), Sc at (0.000, 0.000, 0.421), Te at (0.500, 0.164, 0.307) and Os at (0.000, 0.000, 0.802).


[3]
Material: YTmGaCo2
Method: DFT, GGA-PBE
State: optimized geometry

It has space group Amm2 (No. 38), with a = 3.826 Å, b = 3.747 Å, c = 13.024 Å, α = 90.00°, β = 90.00° and γ = 90.00°. Symmetry generates all atoms from Y at (0.000, 0.000, 0.000), Tm at (0.000, 0.000, 0.735), Ga at (0.500, 0.000, 0.367), Co at (0.500, 0.000, 0.170) and Co at (0.500, 0.000, 0.572).


[4]
Material: TbDy2Cu4Si2Ge2
Method: DFT, GGA-PBE
State: optimized geometry

It has space group Immm (No. 71), with a = 4.192 Å, b = 6.610 Å, c = 13.832 Å, α = 90.00°, β = 90.00° and γ = 90.00°. Symmetry generates all atoms from Tb at (0.000, 0.000, 0.000), Dy at (0.000, 0.500, 0.130), Cu at (0.000, 0.310, 0.336), Si at (0.000, 0.183, 0.500) and Ge at (0.000, 0.000, 0.217).

The calculation puts the energy above the most stable polymorph in this dataset at 0.007 eV/atom.


[5]
Material: KIr3N5
Method: DFT, GGA-PBE
State: optimized geometry

It has space group P6/mmm (No. 191), with a = 5.2215 Å, b = 5.2215 Å, c = 5.8416 Å, α = 90.00°, β = 90.00° and γ = 120.00°. Symmetry generates all atoms from K at (0.0000, 0.0000, 0.0000), Ir at (0.0000, 0.5000, 0.5000), N at (0.0000, 0.0000, 0.5000) and N at (0.3333, 0.6667, 0.2722).


[6]
Material: PmUMo
Method: DFT, GGA-PBE
State: optimized geometry

It has space group F-43m (No. 216), with a = 6.789 Å, b = 6.789 Å, c = 6.789 Å, α = 90.00°, β = 90.00° and γ = 90.00°. Symmetry generates all atoms from Pm at (0.000, 0.000, 0.000), U at (0.000, 0.000, 0.500) and Mo at (0.250, 0.250, 0.250).

The calculation puts the energy above the most stable polymorph in this dataset at 0.000 eV/atom. The formation energy comes out at 0.85 eV/atom.


[7]
Material: Sc4NiGeN2
Method: DFT, GGA-PBE
State: optimized geometry

It has space group P-6m2 (No. 187), with a = 3.1978 Å, b = 3.1978 Å, c = 13.3870 Å, α = 90.00°, β = 90.00° and γ = 120.00°. Symmetry generates all atoms from Sc at (0.0000, 0.0000, 0.1456), Sc at (0.6667, 0.3333, 0.3336), Ni at (0.6667, 0.3333, 0.0000), Ge at (0.0000, 0.0000, 0.5000) and N at (0.3333, 0.6667, 0.2470).


[8]
Material: GdYMg3Co2
Method: DFT, GGA-PBE
State: optimized geometry

It has space group Amm2 (No. 38), with a = 3.784 Å, b = 3.813 Å, c = 20.879 Å, α = 90.00°, β = 90.00° and γ = 90.00°. Symmetry generates all atoms from Gd at (0.000, 0.000, 0.000), Y at (0.000, 0.000, 0.649), Mg at (0.000, 0.000, 0.824), Mg at (0.500, 0.000, 0.243), Mg at (0.500, 0.000, 0.405), Co at (0.500, 0.000, 0.105) and Co at (0.500, 0.000, 0.543).


[9]
Material: ZrGa2Fe
Method: DFT, GGA-PBE
State: optimized geometry

It has space group F-43m (No. 216), with a = 6.302 Å, b = 6.302 Å, c = 6.302 Å, α = 90.00°, β = 90.00° and γ = 90.00°. Symmetry generates all atoms from Zr at (0.000, 0.000, 0.000), Ga at (0.000, 0.000, 0.500), Ga at (0.250, 0.250, 0.250) and Fe at (0.250, 0.250, 0.750).


[10]
Material: Mg3Ni2Os2
Method: DFT, GGA-PBE
State: optimized geometry

It has space group R3m (No. 160, hexagonal axes), with a = 4.2579 Å, b = 4.2579 Å, c = 21.2092 Å, α = 90.00°, β = 90.00° and γ = 120.00°. Symmetry generates all atoms from Mg at (0.0000, 0.0000, 0.0000), Mg at (0.0000, 0.0000, 0.2584), Mg at (0.0000, 0.0000, 0.5187), Ni at (0.0000, 0.0000, 0.1250), Ni at (0.0000, 0.0000, 0.6463), Os at (0.0000, 0.0000, 0.3933) and Os at (0.0000, 0.0000, 0.7600).


[11]
Material: Be2SiIr
Method: DFT, GGA-PBE
State: optimized geometry

It has space group F-43m (No. 216), with a = 5.619 Å, b = 5.619 Å, c = 5.619 Å, α = 90.00°, β = 90.00° and γ = 90.00°. Symmetry generates all atoms from Be at (0.000, 0.000, 0.000), Be at (0.250, 0.250, 0.250), Si at (0.000, 0.000, 0.500) and Ir at (0.250, 0.250, 0.750).


[12]
Material: TmBe
Method: DFT, GGA-PBE
State: optimized geometry

It has space group P-6m2 (No. 187), with a = 3.4009 Å, b = 3.4009 Å, c = 4.2169 Å, α = 90.00°, β = 90.00° and γ = 120.00°. Symmetry generates all atoms from Tm at (0.0000, 0.0000, 0.0000) and Be at (0.3333, 0.6667, 0.5000).

The calculation puts the energy above the most stable polymorph in this dataset at 0.043 eV/atom.


no.,DFT total energy (eV per atom)
1,-5.03
2,-5.90
3,-6.01
4,-5.07
5,-6.59
6,-8.12
7,-7.66
8,-4.41
9,-5.85
10,-5.36
11,-5.66
12,-3.58